# 1
A plane-wave DFT calculation with PBE was carried out for a relaxed structure of InSe3Br.

Values from the calculation:
Magnetization ... 0.00 μB/cell
E_tot ... -32.3 eV/cell
Calculated volume ... 307.68 Å³/cell
ΔE to the lowest computed polymorph ... 1.43 kcal/mol of atoms
Energy relative to the elements, uncorrected ... -0.26 eV per atom

a b c (Å): 7.057 7.258 7.612
angles (deg): 66.61 66.76 62.98
Space group P1 (No. 1)
Asymmetric unit:
In 0.000 0.000 0.000 (multiplicity 1)
In 0.496 0.491 0.488 (multiplicity 1)
Se 0.137 0.756 0.714 (multiplicity 1)
Se 0.321 0.624 0.160 (multiplicity 1)
Se 0.641 0.849 0.206 (multiplicity 1)
Se 0.666 0.674 0.985 (multiplicity 1)
Se 0.869 0.910 0.540 (multiplicity 1)
Se 0.901 0.220 0.269 (multiplicity 1)
Br 0.312 0.178 0.670 (multiplicity 1)
Br 0.719 0.359 0.766 (multiplicity 1)


# 2
A plane-wave DFT calculation with PBE was carried out for a relaxed structure of InSe2Br.

Values from the calculation:
Magnetization ... 0.00 μB/cell
E_tot ... -13.1 eV/cell
Calculated volume ... 114.79 Å³/cell
ΔE to the lowest computed polymorph ... 0.00 kcal/mol of atoms
Energy relative to the elements, uncorrected ... -0.42 eV per atom

a b c (Å): 5.227 4.025 5.651
angles (deg): 90.00 105.06 90.00
Space group P2/m (No. 10)
Asymmetric unit:
In 0.000 0.000 0.000 (multiplicity 1)
Se 0.380 0.500 0.152 (multiplicity 2)
Br 0.000 0.000 0.500 (multiplicity 1)


# 3
A plane-wave DFT calculation with PBE was carried out for a relaxed structure of InSeBr2.

Values from the calculation:
Magnetization ... 0.00 μB/cell
E_tot ... -20.0 eV/cell
Calculated volume ... 240.37 Å³/cell
ΔE to the lowest computed polymorph ... 5.03 kcal/mol of atoms
Energy relative to the elements, uncorrected ... -0.11 eV per atom

a b c (Å): 7.000 8.217 5.407
angles (deg): 90.00 129.39 90.00
Space group C2/m (No. 12)
Asymmetric unit:
In 0.000 0.000 0.000 (multiplicity 2)
Se 0.000 0.500 0.000 (multiplicity 2)
Br 0.250 0.250 0.500 (multiplicity 4)


# 4
A plane-wave DFT calculation with PBE was carried out for a relaxed structure of InSe3Br.

Values from the calculation:
Magnetization ... 0.00 μB/cell
E_tot ... -16.4 eV/cell
Calculated volume ... 183.85 Å³/cell
ΔE to the lowest computed polymorph ... 0.30 kcal/mol of atoms
Energy relative to the elements, uncorrected ... -0.31 eV per atom

a b c (Å): 4.131 6.229 7.468
angles (deg): 75.19 88.48 81.80
Space group P1 (No. 1)
Asymmetric unit:
In 0.000 0.000 0.000 (multiplicity 1)
Se 0.536 0.713 0.967 (multiplicity 1)
Se 0.558 0.118 0.229 (multiplicity 1)
Se 0.669 0.463 0.267 (multiplicity 1)
Br 0.053 0.283 0.691 (multiplicity 1)


# 5
A plane-wave DFT calculation with PBE was carried out for a relaxed structure of InSeBr3.

Values from the calculation:
Magnetization ... 0.00 μB/cell
E_tot ... -27.8 eV/cell
Calculated volume ... 361.46 Å³/cell
ΔE to the lowest computed polymorph ... 0.88 kcal/mol of atoms
Energy relative to the elements, uncorrected ... -0.53 eV per atom

a b c (Å): 7.545 7.752 8.206
angles (deg): 93.25 116.17 117.42
Space group P1 (No. 1)
Asymmetric unit:
In 0.000 0.000 0.000 (multiplicity 1)
In 0.020 0.508 0.046 (multiplicity 1)
Se 0.526 0.336 0.164 (multiplicity 1)
Se 0.546 0.307 0.898 (multiplicity 1)
Br 0.042 0.257 0.274 (multiplicity 1)
Br 0.070 0.758 0.818 (multiplicity 1)
Br 0.165 0.850 0.302 (multiplicity 1)
Br 0.509 0.651 0.236 (multiplicity 1)
Br 0.556 0.743 0.814 (multiplicity 1)
Br 0.945 0.232 0.761 (multiplicity 1)


# 6
A plane-wave DFT calculation with PBE was carried out for a relaxed structure of InSe2Br.

Values from the calculation:
Magnetization ... 0.00 μB/cell
E_tot ... -37.8 eV/cell
Calculated volume ... 366.47 Å³/cell
ΔE to the lowest computed polymorph ... 2.69 kcal/mol of atoms
Energy relative to the elements, uncorrected ... -0.30 eV per atom

a b c (Å): 4.1862 4.1862 24.1474
angles (deg): 90.00 90.00 120.00
Space group R-3m (No. 166, hexagonal axes)
Asymmetric unit:
In 0.0000 0.0000 0.0000 (multiplicity 3)
Se 0.0000 0.0000 0.3923 (multiplicity 6)
Br 0.0000 0.0000 0.5000 (multiplicity 3)


# 7
A plane-wave DFT calculation with PBE was carried out for a relaxed structure of InSe2Br.

Values from the calculation:
Magnetization ... 0.00 μB/cell
E_tot ... -23.6 eV/cell
Calculated volume ... 258.60 Å³/cell
ΔE to the lowest computed polymorph ... 7.17 kcal/mol of atoms
Energy relative to the elements, uncorrected ... -0.11 eV per atom

a b c (Å): 3.961 7.494 8.713
angles (deg): 90.00 90.00 90.00
Space group Cmm2 (No. 35)
Asymmetric unit:
In 0.000 0.000 0.000 (multiplicity 2)
Se 0.000 0.000 0.563 (multiplicity 2)
Se 0.000 0.500 0.733 (multiplicity 2)
Br 0.000 0.500 0.231 (multiplicity 2)


# 8
A plane-wave DFT calculation with PBE was carried out for a relaxed structure of InSe2Br.

Values from the calculation:
Magnetization ... 0.00 μB/cell
E_tot ... -12.1 eV/cell
Calculated volume ... 125.72 Å³/cell
ΔE to the lowest computed polymorph ... 5.66 kcal/mol of atoms
Energy relative to the elements, uncorrected ... -0.17 eV per atom

a b c (Å): 3.645 3.645 9.461
angles (deg): 90.00 90.00 90.00
Space group P4mm (No. 99)
Asymmetric unit:
In 0.000 0.000 0.000 (multiplicity 1)
Se 0.000 0.000 0.434 (multiplicity 1)
Se 0.500 0.500 0.354 (multiplicity 1)
Br 0.500 0.500 0.824 (multiplicity 1)


# 9
A plane-wave DFT calculation with PBE was carried out for a relaxed structure of InSe3Br.

Values from the calculation:
Magnetization ... 1.11 μB/cell
E_tot ... -12.2 eV/cell
Calculated volume ... 150.96 Å³/cell
ΔE to the lowest computed polymorph ... 19.60 kcal/mol of atoms
Energy relative to the elements, uncorrected ... 0.53 eV per atom

a b c (Å): 5.325 5.325 5.325
angles (deg): 90.00 90.00 90.00
Space group Pm-3m (No. 221)
Asymmetric unit:
In 0.000 0.000 0.000 (multiplicity 1)
Se 0.000 0.000 0.500 (multiplicity 3)
Br 0.500 0.500 0.500 (multiplicity 1)


# 10
A plane-wave DFT calculation with PBE was carried out for a relaxed structure of InSeBr.

Values from the calculation:
Magnetization ... 0.00 μB/cell
E_tot ... -32.0 eV/cell
Calculated volume ... 350.99 Å³/cell
Energy relative to the elements, uncorrected ... -0.03 eV per atom

a b c (Å): 7.054 7.054 7.054
angles (deg): 90.00 90.00 90.00
Space group F-43m (No. 216)
Asymmetric unit:
In 0.000 0.000 0.000 (multiplicity 4)
Se 0.250 0.250 0.250 (multiplicity 4)
Br 0.000 0.000 0.500 (multiplicity 4)


# 11
A plane-wave DFT calculation with PBE was carried out for a relaxed structure of InSeBr2.

Values from the calculation:
Magnetization ... 3.05 μB/cell
E_tot ... -31.9 eV/cell
Calculated volume ... 370.74 Å³/cell
ΔE to the lowest computed polymorph ... 1.46 kcal/mol of atoms
Energy relative to the elements, uncorrected ... -0.26 eV per atom

a b c (Å): 4.0876 4.0876 25.6208
angles (deg): 90.00 90.00 120.00
Space group R3m (No. 160, hexagonal axes)
Asymmetric unit:
In 0.0000 0.0000 0.0000 (multiplicity 3)
Se 0.0000 0.0000 0.2814 (multiplicity 3)
Br 0.0000 0.0000 0.5317 (multiplicity 3)
Br 0.0000 0.0000 0.7358 (multiplicity 3)


# 12
A plane-wave DFT calculation with PBE was carried out for a relaxed structure of InSe2Br4.

Values from the calculation:
Magnetization ... 0.00 μB/cell
E_tot ... -38.7 eV/cell
Calculated volume ... 508.48 Å³/cell
Energy relative to the elements, uncorrected ... -0.42 eV per atom

a b c (Å): 17.499 3.799 7.945
angles (deg): 90.00 105.71 90.00
Space group C2/m (No. 12)
Asymmetric unit:
In 0.000 0.000 0.000 (multiplicity 2)
Se 0.236 0.500 0.397 (multiplicity 4)
Br 0.004 0.500 0.756 (multiplicity 4)
Br 0.161 0.000 0.094 (multiplicity 4)


# 13
A plane-wave DFT calculation with PBE was carried out for a relaxed structure of InSeBr.

Values from the calculation:
Magnetization ... 0.00 μB/cell
E_tot ... -9.8 eV/cell
Calculated volume ... 96.21 Å³/cell
Energy relative to the elements, uncorrected ... -0.65 eV per atom

a b c (Å): 4.0064 4.0064 6.9211
angles (deg): 90.00 90.00 120.00
Space group P3m1 (No. 156)
Asymmetric unit:
In 0.0000 0.0000 0.0000 (multiplicity 1)
Se 0.3333 0.6667 0.1923 (multiplicity 1)
Br 0.6667 0.3333 0.7351 (multiplicity 1)


# 14
A plane-wave DFT calculation with PBE was carried out for a relaxed structure of In12Se3Br5.

Values from the calculation:
Magnetization ... 0.00 μB/cell
E_tot ... -455.0 eV/cell
Calculated volume ... 6780.69 Å³/cell
Energy relative to the elements, uncorrected ... -0.26 eV per atom

a b c (Å): 18.927 18.927 18.927
angles (deg): 90.00 90.00 90.00
Space group Ia-3d (No. 230)
Asymmetric unit:
In 0.006 0.058 0.164 (multiplicity 96)
Se 0.000 0.250 0.125 (multiplicity 24)
Br 0.000 0.000 0.000 (multiplicity 16)
Br 0.000 0.250 0.375 (multiplicity 24)


# 15
A plane-wave DFT calculation with PBE was carried out for a relaxed structure of InSe2Br.

Values from the calculation:
Magnetization ... 0.00 μB/cell
E_tot ... -45.4 eV/cell
Calculated volume ... 524.12 Å³/cell
ΔE to the lowest computed polymorph ... 9.82 kcal/mol of atoms
Energy relative to the elements, uncorrected ... 0.01 eV per atom

a b c (Å): 7.169 7.169 10.199
angles (deg): 90.00 90.00 90.00
Space group I-42d (No. 122)
Asymmetric unit:
In 0.000 0.000 0.000 (multiplicity 4)
Se 0.209 0.250 0.125 (multiplicity 8)
Br 0.000 0.000 0.500 (multiplicity 4)


# 16
A plane-wave DFT calculation with PBE was carried out for a relaxed structure of InSe3Br.

Values from the calculation:
Magnetization ... 0.00 μB/cell
E_tot ... -16.1 eV/cell
Calculated volume ... 153.30 Å³/cell
ΔE to the lowest computed polymorph ... 1.91 kcal/mol of atoms
Energy relative to the elements, uncorrected ... -0.24 eV per atom

a b c (Å): 4.639 5.095 6.586
angles (deg): 93.33 95.05 97.69
Space group P1 (No. 1)
Asymmetric unit:
In 0.000 0.000 0.000 (multiplicity 1)
Se 0.098 0.775 0.360 (multiplicity 1)
Se 0.348 0.469 0.172 (multiplicity 1)
Se 0.445 0.722 0.881 (multiplicity 1)
Br 0.857 0.181 0.636 (multiplicity 1)


# 17
A plane-wave DFT calculation with PBE was carried out for a relaxed structure of InSe2Br.

Values from the calculation:
Magnetization ... 0.00 μB/cell
E_tot ... -31.6 eV/cell
Calculated volume ... 330.63 Å³/cell
ΔE to the lowest computed polymorph ... 14.63 kcal/mol of atoms
Energy relative to the elements, uncorrected ... 0.21 eV per atom

a b c (Å): 2.9934 2.9934 42.6066
angles (deg): 90.00 90.00 120.00
Space group R-3m (No. 166, hexagonal axes)
Asymmetric unit:
In 0.0000 0.0000 0.0000 (multiplicity 3)
Se 0.0000 0.0000 0.0673 (multiplicity 6)
Br 0.0000 0.0000 0.5000 (multiplicity 3)


# 18
A plane-wave DFT calculation with PBE was carried out for a relaxed structure of InSeBr.

Values from the calculation:
Magnetization ... 0.00 μB/cell
E_tot ... -19.7 eV/cell
Calculated volume ... 211.06 Å³/cell
Energy relative to the elements, uncorrected ... -0.65 eV per atom

a b c (Å): 7.174 4.142 7.103
angles (deg): 90.00 90.27 90.00
Space group Cm (No. 8)
Asymmetric unit:
In 0.000 0.000 0.000 (multiplicity 2)
Se 0.166 0.500 0.832 (multiplicity 2)
Br 0.002 0.000 0.350 (multiplicity 2)


# 19
A plane-wave DFT calculation with PBE was carried out for a relaxed structure of In5Se5Br.

Values from the calculation:
Magnetization ... 0.00 μB/cell
E_tot ... -77.3 eV/cell
Calculated volume ... 622.46 Å³/cell
Energy relative to the elements, uncorrected ... -0.53 eV per atom

a b c (Å): 4.164 9.462 15.799
angles (deg): 90.00 90.00 90.00
Space group Pmn2_1 (No. 31)
Asymmetric unit:
In 0.000 0.026 0.000 (multiplicity 2)
In 0.000 0.314 0.046 (multiplicity 2)
In 0.000 0.387 0.650 (multiplicity 2)
In 0.000 0.644 0.847 (multiplicity 2)
In 0.000 0.897 0.272 (multiplicity 2)
Se 0.000 0.073 0.408 (multiplicity 2)
Se 0.000 0.275 0.813 (multiplicity 2)
Se 0.000 0.432 0.201 (multiplicity 2)
Se 0.000 0.525 0.495 (multiplicity 2)
Se 0.000 0.803 0.108 (multiplicity 2)
Br 0.000 0.904 0.708 (multiplicity 2)


# 20
A plane-wave DFT calculation with PBE was carried out for a relaxed structure of InSeBr2.

Values from the calculation:
Magnetization ... 0.00 μB/cell
E_tot ... -9.8 eV/cell
Calculated volume ... 113.89 Å³/cell
ΔE to the lowest computed polymorph ... 6.07 kcal/mol of atoms
Energy relative to the elements, uncorrected ... -0.06 eV per atom

a b c (Å): 4.415 3.876 6.655
angles (deg): 90.00 90.20 90.00
Space group P2/m (No. 10)
Asymmetric unit:
In 0.000 0.000 0.000 (multiplicity 1)
Se 0.000 0.500 0.500 (multiplicity 1)
Br 0.500 0.000 0.500 (multiplicity 1)
Br 0.500 0.500 0.000 (multiplicity 1)


# 21
A plane-wave DFT calculation with PBE was carried out for a relaxed structure of InSeBr2.

Values from the calculation:
Magnetization ... 0.00 μB/cell
E_tot ... -10.9 eV/cell
Calculated volume ... 135.65 Å³/cell
ΔE to the lowest computed polymorph ... 0.00 kcal/mol of atoms
Energy relative to the elements, uncorrected ... -0.33 eV per atom

a b c (Å): 4.945 5.590 5.493
angles (deg): 90.00 116.69 90.00
Space group Pm (No. 6)
Asymmetric unit:
In 0.000 0.000 0.000 (multiplicity 1)
Se 0.044 0.500 0.090 (multiplicity 1)
Br 0.338 0.000 0.676 (multiplicity 1)
Br 0.618 0.500 0.239 (multiplicity 1)


# 22
A plane-wave DFT calculation with PBE was carried out for a relaxed structure of InSe2Br.

Values from the calculation:
Magnetization ... 0.00 μB/cell
E_tot ... -12.2 eV/cell
Calculated volume ... 127.13 Å³/cell
ΔE to the lowest computed polymorph ... 4.94 kcal/mol of atoms
Energy relative to the elements, uncorrected ... -0.21 eV per atom

a b c (Å): 3.955 3.917 8.321
angles (deg): 90.00 99.52 90.00
Space group Pm (No. 6)
Asymmetric unit:
In 0.000 0.000 0.000 (multiplicity 1)
Se 0.311 0.000 0.597 (multiplicity 1)
Se 0.992 0.500 0.678 (multiplicity 1)
Br 0.561 0.500 0.164 (multiplicity 1)


# 23
A plane-wave DFT calculation with PBE was carried out for a relaxed structure of InSeBr2.

Values from the calculation:
Magnetization ... 0.00 μB/cell
E_tot ... -19.4 eV/cell
Calculated volume ... 223.77 Å³/cell
ΔE to the lowest computed polymorph ... 6.86 kcal/mol of atoms
Energy relative to the elements, uncorrected ... -0.03 eV per atom

a b c (Å): 3.590 6.726 9.268
angles (deg): 90.00 90.00 90.00
Space group Immm (No. 71)
Asymmetric unit:
In 0.000 0.000 0.000 (multiplicity 2)
Se 0.000 0.000 0.500 (multiplicity 2)
Br 0.000 0.500 0.248 (multiplicity 4)